# PBE Gd2DyIn3IrAu2, optimized geometry
# final energy	-4.9053	eV/atom
# calculated volume	411	Å³ per cell
data_Gd2DyIn3IrAu2
_chemical_formula_sum 'Gd4 Dy2 In6 Ir2 Au4'
_symmetry_space_group_name_H-M 'A m m 2'
_symmetry_Int_Tables_number 38
_symmetry_space_group_name_Hall 'A 2 -2'
_cell_length_a 3.976
_cell_length_b 13.382
_cell_length_c 7.732
_cell_angle_alpha 90.00
_cell_angle_beta 90.00
_cell_angle_gamma 90.00
loop_
_atom_site_label
_atom_site_type_symbol
_atom_site_fract_x
_atom_site_fract_y
_atom_site_fract_z
Gd1 Gd 0.000 0.199 0.000
Dy1 Dy 0.000 0.000 0.595
In1 In 0.500 0.000 0.945
In2 In 0.500 0.127 0.326
Ir1 Ir 0.000 0.000 0.200
Au1 Au 0.500 0.166 0.698